[1]
# Be3RuSe

A relaxed structure of Be3RuSe (PBE, the Alexandria database).

Cell and atoms, written as POSCAR:
```
Be3RuSe
1.0
4.207 0.000 0.000
0.000 4.207 0.000
0.000 0.000 4.207
Be Ru Se
3 1 1
direct
0.000 0.000 0.500 Be
0.000 0.500 0.000 Be
0.500 0.000 0.000 Be
0.000 0.000 0.000 Ru
0.500 0.500 0.500 Se
```

Output
Raw formation energy: 0.74 eV/atom
Magnetization: 0.00 μB per formula unit
Relative energy among the computed polymorphs: 0 meV/atom
Electronic total energy: -4.047 eV per atom
SG: Pm-3m

[2]
# BeRu2Se

A relaxed structure of BeRu2Se (PBE, the Alexandria database).

Cell and atoms, written as POSCAR:
```
BeRu2Se
1.0
6.063 0.000 0.000
0.000 6.063 0.000
0.000 0.000 6.063
Be Ru Se
4 8 4
direct
0.000 0.000 0.000 Be
0.000 0.500 0.500 Be
0.500 0.000 0.500 Be
0.500 0.500 0.000 Be
0.000 0.000 0.500 Ru
0.000 0.500 0.000 Ru
0.250 0.250 0.750 Ru
0.250 0.750 0.250 Ru
0.500 0.000 0.000 Ru
0.500 0.500 0.500 Ru
0.750 0.250 0.250 Ru
0.750 0.750 0.750 Ru
0.250 0.250 0.250 Se
0.250 0.750 0.750 Se
0.750 0.250 0.750 Se
0.750 0.750 0.250 Se
```

Output
Raw formation energy: 0.50 eV/atom
Magnetization: 1.08 μB per formula unit
Relative energy among the computed polymorphs: 479 meV/atom
Electronic total energy: -5.941 eV per atom
SG: F-43m

[3]
# Be2RuSe

A relaxed structure of Be2RuSe (PBE, the Alexandria database).

Cell and atoms, written as POSCAR:
```
Be2RuSe
1.0
6.305 0.000 0.000
0.000 6.305 0.000
0.000 0.000 5.227
Be Ru Se
8 4 4
direct
0.232 0.750 0.125 Be
0.250 0.232 0.875 Be
0.250 0.268 0.375 Be
0.268 0.750 0.625 Be
0.732 0.250 0.625 Be
0.750 0.732 0.375 Be
0.750 0.768 0.875 Be
0.768 0.250 0.125 Be
0.000 0.000 0.500 Ru
0.000 0.500 0.750 Ru
0.500 0.000 0.250 Ru
0.500 0.500 0.000 Ru
0.000 0.000 0.000 Se
0.000 0.500 0.250 Se
0.500 0.000 0.750 Se
0.500 0.500 0.500 Se
```

Output
Raw formation energy: 0.36 eV/atom
Magnetization: 0.00 μB per formula unit
Electronic total energy: -4.690 eV per atom
SG: I-42d

[4]
# BeRu2Se

A relaxed structure of BeRu2Se (PBE, the Alexandria database).

Cell and atoms, written as POSCAR:
```
BeRu2Se
1.0
3.075 0.000 0.000
0.000 3.860 0.000
0.000 0.000 4.648
Be Ru Se
1 2 1
direct
0.000 0.000 0.000 Be
0.000 0.500 0.500 Ru
0.500 0.500 0.000 Ru
0.500 0.000 0.500 Se
```

Output
Raw formation energy: 0.37 eV/atom
Magnetization: 0.00 μB per formula unit
Relative energy among the computed polymorphs: 351 meV/atom
Electronic total energy: -6.069 eV per atom
SG: Pmmm